Record 1
Zr2SN2 | the Alexandria database | PBE | optimized geometry; total magnetization = 0.00 Bohr magnetons per cell; E_form (uncorrected) = -154 kJ per mole of atoms
1.0
-0.847 3.456 0.329
-3.648 -0.710 -1.937
-0.264 -2.478 5.939
S Zr N
1 2 2
Cartesian
0.000 0.000 0.000 S
-1.294 1.345 1.944 Zr
-3.465 -1.077 2.387 Zr
-1.393 -0.613 2.848 N
-3.366 0.881 1.483 N


Record 2
Li3Cu5Ni2 | the Alexandria database | PBE | optimized geometry; total magnetization = 0.00 Bohr magnetons per cell; DFT formation energy = 0.079 eV/atom
1.0
3.990 0.000 0.885
2.124 4.224 -0.139
0.306 -3.709 8.053
Cu Li Ni
5 3 2
Cartesian
1.126 -1.028 4.361 Cu
5.295 1.543 4.438 Cu
0.000 0.000 0.000 Cu
2.792 -1.100 6.288 Cu
3.630 1.615 2.512 Cu
1.878 2.150 0.969 Li
3.211 0.257 4.400 Li
4.543 -1.636 7.831 Li
1.685 -0.187 1.839 Ni
4.736 0.701 6.960 Ni


Record 3
Pm3NiI3 | the Alexandria database | PBE | optimized geometry; total magnetization = 0.00 Bohr magnetons per cell; E_form (uncorrected) = -93 kJ per mole of atoms
1.0
4.121 0.000 0.000
0.000 9.242 -0.372
0.000 0.165 12.531
I Ni Pm
6 2 6
Cartesian
1.030 3.662 10.821 I
1.030 8.083 10.776 I
3.091 5.746 1.339 I
1.030 3.638 4.468 I
3.091 1.325 1.384 I
3.091 5.770 7.692 I
1.030 8.268 4.400 Ni
3.091 1.140 7.759 Ni
1.030 8.516 7.342 Pm
3.091 1.234 10.481 Pm
3.091 6.457 4.498 Pm
3.091 0.892 4.817 Pm
1.030 2.951 7.662 Pm
1.030 8.173 1.679 Pm


Record 4
LiPmPbCl6 | the Alexandria database | PBE | optimized geometry; total magnetization = 0.00 Bohr magnetons per cell; E_form (uncorrected) = -173 kJ per mole of atoms
1.0
-3.815 -5.652 0.585
4.875 1.331 4.616
-8.397 6.395 7.024
Cl Li Pm Pb
12 2 2 2
Cartesian
-0.723 0.044 7.519 Cl
0.048 3.153 5.609 Cl
-6.970 3.984 7.906 Cl
-6.615 2.029 4.706 Cl
-9.722 1.874 6.537 Cl
-0.368 -1.910 4.318 Cl
-7.932 0.823 9.634 Cl
-4.674 1.200 7.780 Cl
0.594 1.251 2.590 Cl
-7.385 -1.080 6.615 Cl
2.385 0.200 5.688 Cl
-2.663 0.873 4.444 Cl
-0.121 0.602 5.028 Li
-7.216 1.472 7.197 Li
-4.320 3.799 8.540 Pm
-3.018 -1.726 3.684 Pm
0.000 0.000 0.000 Pb
-4.199 3.197 3.512 Pb


Please write out number 4 again, unchanged.
LiPmPbCl6 | the Alexandria database | PBE | optimized geometry; total magnetization = 0.00 Bohr magnetons per cell; E_form (uncorrected) = -173 kJ per mole of atoms
1.0
-3.815 -5.652 0.585
4.875 1.331 4.616
-8.397 6.395 7.024
Cl Li Pm Pb
12 2 2 2
Cartesian
-0.723 0.044 7.519 Cl
0.048 3.153 5.609 Cl
-6.970 3.984 7.906 Cl
-6.615 2.029 4.706 Cl
-9.722 1.874 6.537 Cl
-0.368 -1.910 4.318 Cl
-7.932 0.823 9.634 Cl
-4.674 1.200 7.780 Cl
0.594 1.251 2.590 Cl
-7.385 -1.080 6.615 Cl
2.385 0.200 5.688 Cl
-2.663 0.873 4.444 Cl
-0.121 0.602 5.028 Li
-7.216 1.472 7.197 Li
-4.320 3.799 8.540 Pm
-3.018 -1.726 3.684 Pm
0.000 0.000 0.000 Pb
-4.199 3.197 3.512 Pb


- Which value of total magnetization does entry 1 give?
  0.00 Bohr magnetons per cell


- Number 1 is which compound?
  Zr2SN2